[1]
VASP calculation (PBE) on a relaxed structure of Ba3Tm2PaAs6.

Properties
Symmetry   No. 12

Unit cell a=7.483 b=7.483 c=7.850 alpha=99.14 beta=99.14 gamma=120.03
Fractional coordinates of all 12 atoms:
Ba 0.000 0.000 0.000
Ba 0.331 0.669 0.000
Ba 0.669 0.331 0.000
Tm 0.166 0.834 0.500
Tm 0.834 0.166 0.500
Pa 0.500 0.500 0.500
As 0.105 0.432 0.297
As 0.241 0.241 0.705
As 0.432 0.105 0.297
As 0.568 0.895 0.703
As 0.759 0.759 0.295
As 0.895 0.568 0.703

=====

[2]
VASP calculation (PBE) on a relaxed structure of NaSiP2Pt.

Properties
Symmetry   No. 123
Formation energy from raw total energies   410 kJ/mol of formula units

Unit cell a=4.458 b=4.458 c=4.910 alpha=90.00 beta=90.00 gamma=90.00
Fractional coordinates of all 5 atoms:
Na 0.000 0.000 0.000
Si 0.000 0.000 0.500
P 0.000 0.500 0.500
P 0.500 0.000 0.500
Pt 0.500 0.500 0.000

=====

[3]
VASP calculation (PBE) on a relaxed structure of ZrAl2Pt2.

Properties
Symmetry   No. 127

Unit cell a=7.628 b=7.628 c=2.835 alpha=90.00 beta=90.00 gamma=90.00
Fractional coordinates of all 10 atoms:
Zr 0.000 0.000 0.000
Zr 0.500 0.500 0.000
Al 0.159 0.341 0.500
Al 0.341 0.841 0.500
Al 0.659 0.159 0.500
Al 0.841 0.659 0.500
Pt 0.136 0.636 0.000
Pt 0.364 0.136 0.000
Pt 0.636 0.864 0.000
Pt 0.864 0.364 0.000

=====

[4]
VASP calculation (PBE) on a relaxed structure of LiSnB.

Properties
Symmetry   No. 1

Unit cell a=4.691 b=5.085 c=5.406 alpha=110.62 beta=110.20 gamma=95.45
Fractional coordinates of all 6 atoms:
Li 0.000 0.000 0.000
Li 0.439 0.598 0.999
Sn 0.178 0.740 0.465
Sn 0.638 0.357 0.445
B 0.502 0.090 0.964
B 0.596 0.186 0.757

=====

[5]
VASP calculation (PBE) on a relaxed structure of Pm2ErAu4.

Properties
Symmetry   No. 139

Unit cell a=8.402 b=8.402 c=8.402 alpha=143.32 beta=143.32 gamma=52.84
Fractional coordinates of all 7 atoms:
Pm 0.121 0.121 0.000
Pm 0.879 0.879 0.000
Er 0.500 0.500 0.000
Au 0.000 0.500 0.500
Au 0.315 0.315 0.000
Au 0.500 0.000 0.500
Au 0.685 0.685 0.000

=====

[6]
VASP calculation (PBE) on a relaxed structure of LiZrIn.

Properties
Symmetry   No. 10

Unit cell a=4.649 b=3.543 c=7.797 alpha=90.00 beta=107.29 gamma=90.00
Fractional coordinates of all 6 atoms:
Li 0.175 0.000 0.351
Li 0.825 0.000 0.649
Zr 0.000 0.500 0.000
Zr 0.500 0.000 0.000
In 0.333 0.500 0.663
In 0.667 0.500 0.337

=====

[7]
VASP calculation (PBE) on a relaxed structure of NiBrCl2.

Properties
Symmetry   No. 6
Formation energy from raw total energies   -111 kJ/mol of formula units

Unit cell a=5.388 b=3.407 c=6.088 alpha=90.00 beta=101.15 gamma=90.00
Fractional coordinates of all 4 atoms:
Ni 0.000 0.000 0.000
Br 0.231 0.500 0.857
Cl 0.657 0.000 0.721
Cl 0.895 0.500 0.211

=====

[8]
VASP calculation (PBE) on a relaxed structure of CoSbP3.

Properties
Symmetry   No. 221
Formation energy from raw total energies   238 kJ/mol of formula units

Unit cell a=4.439 b=4.439 c=4.439 alpha=90.00 beta=90.00 gamma=90.00
Fractional coordinates of all 5 atoms:
Co 0.000 0.000 0.000
Sb 0.500 0.500 0.500
P 0.000 0.000 0.500
P 0.000 0.500 0.000
P 0.500 0.000 0.000

=====

[9]
VASP calculation (PBE) on a relaxed structure of SnPIN2.

Properties
Symmetry   No. 123
Formation energy from raw total energies   701 kJ/mol of formula units

Unit cell a=4.057 b=4.057 c=5.345 alpha=90.00 beta=90.00 gamma=90.00
Fractional coordinates of all 5 atoms:
Sn 0.000 0.000 0.000
P 0.500 0.500 0.500
I 0.500 0.500 0.000
N 0.000 0.500 0.500
N 0.500 0.000 0.500

=====

[10]
VASP calculation (PBE) on a relaxed structure of InSnIr2.

Properties
Symmetry   No. 123

Unit cell a=4.357 b=4.357 c=3.668 alpha=90.00 beta=90.00 gamma=90.00
Fractional coordinates of all 4 atoms:
In 0.000 0.000 0.000
Sn 0.500 0.500 0.000
Ir 0.000 0.500 0.500
Ir 0.500 0.000 0.500

=====

[11]
VASP calculation (PBE) on a relaxed structure of Hf2RuPt.

Properties
Symmetry   No. 122

Unit cell a=9.142 b=9.142 c=9.142 alpha=152.55 beta=152.55 gamma=39.21
Fractional coordinates of all 8 atoms:
Hf 0.119 0.625 0.994
Hf 0.375 0.369 0.494
Hf 0.631 0.125 0.006
Hf 0.875 0.881 0.506
Ru 0.000 0.000 0.000
Ru 0.750 0.250 0.500
Pt 0.250 0.750 0.500
Pt 0.500 0.500 0.000

=====

[12]
VASP calculation (PBE) on a relaxed structure of LaHfMg6.

Properties
Symmetry   No. 38

Unit cell a=5.185 b=6.660 c=6.660 alpha=59.37 beta=90.00 gamma=90.00
Fractional coordinates of all 8 atoms:
La 0.000 0.000 0.000
Hf 0.500 0.148 0.148
Mg 0.000 0.008 0.480
Mg 0.000 0.480 0.008
Mg 0.000 0.493 0.493
Mg 0.500 0.157 0.639
Mg 0.500 0.639 0.157
Mg 0.500 0.655 0.655

=====

Number 1: magnetic moment 0.00 μB/f.u., E -5.524 eV per atom. Number 2: magnetic moment 0.00 μB/f.u., E -3.871 eV per atom. Number 3: magnetic moment 0.00 μB/f.u., E -6.486 eV per atom. Number 4: magnetic moment 0.00 μB/f.u., E -3.972 eV per atom. Number 5: magnetic moment 0.00 μB/f.u., E -4.202 eV per atom. Number 6: magnetic moment 0.00 μB/f.u., E -4.556 eV per atom. Number 7: magnetic moment 0.95 μB/f.u., E -3.073 eV per atom. Number 8: magnetic moment 0.00 μB/f.u., E -4.999 eV per atom. Number 9: magnetic moment 1.20 μB/f.u., E -4.070 eV per atom. Number 10: magnetic moment 0.00 μB/f.u., E -6.139 eV per atom. Number 11: magnetic moment 0.00 μB/f.u., E -8.809 eV per atom. Number 12: magnetic moment 0.00 μB/f.u., E -2.938 eV per atom.